(1)
# AcPm6Tm8

A geometry-optimized AcPm6Tm8 structure (PBE, Alexandria via LeMat-Bulk).

Computed properties:
- E_form (kJ per mole of atoms) = 44

Unit cell a=9.7783 b=9.7783 c=9.7783 alpha=52.21 beta=52.21 gamma=52.21
Fractional positions:
Ac: 0.0000 0.0000 0.0000
Pm: 0.1554 0.6606 0.3503
Pm: 0.3394 0.6497 0.8445
Pm: 0.3503 0.1554 0.6606
Pm: 0.6497 0.8446 0.3394
Pm: 0.6606 0.3503 0.1555
Pm: 0.8445 0.3394 0.6497
Tm: 0.0510 0.5744 0.7874
Tm: 0.2126 0.9490 0.4256
Tm: 0.2909 0.2909 0.2909
Tm: 0.4256 0.2126 0.9490
Tm: 0.5744 0.7874 0.0510
Tm: 0.7091 0.7091 0.7091
Tm: 0.7874 0.0510 0.5744
Tm: 0.9490 0.4256 0.2126

---

(2)
# Ac2Pm4Tm

A geometry-optimized Ac2Pm4Tm structure (PBE, Alexandria via LeMat-Bulk).

Computed properties:
- E_form (kJ per mole of atoms) = 29

Unit cell a=8.8220 b=8.8220 c=8.8220 alpha=109.58 beta=109.58 gamma=109.26
Fractional positions:
Ac: 0.3750 0.0142 0.1392
Ac: 0.7642 0.6250 0.6392
Ac: 0.8750 0.2358 0.8608
Ac: 0.9858 0.1250 0.3608
Pm: 0.1408 0.0374 0.7432
Pm: 0.1476 0.5442 0.7568
Pm: 0.2942 0.3976 0.2568
Pm: 0.4558 0.2126 0.6034
Pm: 0.6024 0.8592 0.8966
Pm: 0.6092 0.8524 0.3966
Pm: 0.7874 0.3908 0.2432
Pm: 0.9626 0.7058 0.1034
Tm: 0.2500 0.7500 0.5000
Tm: 0.5000 0.5000 0.0000

---

(3)
# AcPmTm

A geometry-optimized AcPmTm structure (PBE, Alexandria via LeMat-Bulk).

Computed properties:
- E above lowest polymorph (meV/atom) = 5
- E_form (kJ per mole of atoms) = 6

Unit cell a=3.7396 b=3.7396 c=8.9835 alpha=90.00 beta=90.00 gamma=120.00
Fractional positions:
Ac: 0.0000 0.0000 0.0000
Pm: 0.3333 0.6667 0.6497
Tm: 0.6667 0.3333 0.3353